## RbBi4Pt2 (PBE)

Data for a geometry-optimized RbBi4Pt2 structure.

abc: 5.605 5.443 7.099
angles: 112.54 90.00 90.00
Fractional positions:
Bi (0.500, 0.829, 0.657)
Bi (0.500, 0.171, 0.343)
Bi (0.000, 0.316, 0.633)
Pt (0.500, 0.601, 0.203)
Bi (0.000, 0.684, 0.367)
Pt (0.500, 0.399, 0.797)
Rb (0.000, 0.000, 0.000)

E above lowest polymorph ... 0.133 eV per atom
Calculated total energy ... -0.3086 Ry/atom
Magnetic moment ... 0.0000 μB per atom
Crystal system ... orthorhombic
Formation energy ... -0.1165 eV/atom
SG ... No. 65
D(E_F) ... 0.479 states/eV per atom



## LiLaNdBi (PBE)

Data for a geometry-optimized LiLaNdBi structure.

abc: 5.511 5.511 5.511
angles: 60.00 60.00 60.00
Fractional positions:
Li (0.000, 0.000, 0.000)
La (0.250, 0.250, 0.250)
Nd (0.750, 0.750, 0.750)
Bi (0.500, 0.500, 0.500)

Calculated total energy ... -0.3145 Ry/atom
Magnetic moment ... 0.0000 μB per atom
Crystal system ... cubic
Formation energy ... -0.4070 eV/atom
SG ... No. 216
D(E_F) ... 0.965 states/eV per atom